## CsPdBr3 (PBE)

Data for a relaxed CsPdBr3 crystal.

- N(E_F): 0.0 states/eV/f.u.
- E_tot: -58.77 eV for the cell shown

abc: 19.4726 3.8457 10.6601
angles: 90.00 107.20 90.00
Last column: nearest neighbours and their distance in Å.
Space group C2/m (No. 12)
One atom of each set of equivalent atoms:
Cs 0.2045 0.0000 0.2691 x4  3 Br 3.43-3.44
Pd 0.0792 0.5000 0.7928 x4  4 Br 2.51-2.53
Br 0.0026 0.0000 0.3031 x4  2 Pd 2.51
Br 0.1392 0.5000 0.4743 x4  2 Br 3.35, 3 Cs 3.43-3.44
Br 0.1621 0.0000 0.8924 x4  2 Pd 2.53